# ZrNbZn2Pb PBE relaxed
# E_form = 1395 meV/atom
# DOS at the Fermi energy = 6.31 states/eV/f.u.
# Crystal system = tetragonal
# Size of the total moment = 2.0 μB/cell
data_ZrNbZn2Pb
_chemical_formula_sum 'Zr1 Nb1 Zn2 Pb1'
_cell_length_a 4.902
_cell_length_b 4.902
_cell_length_c 5.557
_cell_angle_alpha 90.00
_cell_angle_beta 90.00
_cell_angle_gamma 90.00
_space_group_name_H-M_alt 'P 1'
_space_group_IT_number 1
_space_group_name_Hall 'P 1'
loop_
_atom_site_label
_atom_site_type_symbol
_atom_site_fract_x
_atom_site_fract_y
_atom_site_fract_z
Zr1 Zr 0.000 0.000 0.000
Nb1 Nb 0.500 0.500 0.000
Zn1 Zn 0.000 0.500 0.500
Zn2 Zn 0.500 0.000 0.500
Pb1 Pb 0.000 0.000 0.500

=====

# CrCuTeI2 PBE relaxed
# Formation energy from raw total energies = 0.50 eV/atom
# DOS at the Fermi energy = 2.90 states/eV/f.u.
# Crystal system = tetragonal
# Relative energy among the computed polymorphs = 0.0 kJ/mol of atoms
# Size of the total moment = 2.9 μB/cell
data_CrCuTeI2
_chemical_formula_sum 'Cr1 Cu1 Te1 I2'
_cell_length_a 5.591
_cell_length_b 5.591
_cell_length_c 5.192
_cell_angle_alpha 90.00
_cell_angle_beta 90.00
_cell_angle_gamma 90.00
_space_group_name_H-M_alt 'P 1'
_space_group_IT_number 1
_space_group_name_Hall 'P 1'
loop_
_atom_site_label
_atom_site_type_symbol
_atom_site_fract_x
_atom_site_fract_y
_atom_site_fract_z
Cr1 Cr 0.000 0.000 0.000
Cu1 Cu 0.500 0.500 0.500
Te1 Te 0.000 0.000 0.500
I1 I 0.000 0.500 0.000
I2 I 0.500 0.000 0.000

=====

# La2Er3Tm7 PBE relaxed
# E_form = 93 meV/atom
# DOS at the Fermi energy = 18.50 states/eV/f.u.
# Crystal system = monoclinic
# Relative energy among the computed polymorphs = 0.0 kJ/mol of atoms
# Size of the total moment = 0.0 μB/cell
data_La2Er3Tm7
_chemical_formula_sum 'La2 Er3 Tm7'
_cell_length_a 6.302
_cell_length_b 3.490
_cell_length_c 17.325
_cell_angle_alpha 90.00
_cell_angle_beta 96.27
_cell_angle_gamma 90.00
_space_group_name_H-M_alt 'P 1'
_space_group_IT_number 1
_space_group_name_Hall 'P 1'
loop_
_atom_site_label
_atom_site_type_symbol
_atom_site_fract_x
_atom_site_fract_y
_atom_site_fract_z
La1 La 0.059 0.000 0.174
La2 La 0.941 0.000 0.826
Er1 Er 0.453 0.500 0.843
Er2 Er 0.500 0.000 0.500
Er3 Er 0.547 0.500 0.157
Tm1 Tm 0.000 0.500 0.500
Tm2 Tm 0.229 0.000 0.665
Tm3 Tm 0.257 0.000 0.999
Tm4 Tm 0.278 0.500 0.339
Tm5 Tm 0.722 0.500 0.661
Tm6 Tm 0.743 0.000 0.001
Tm7 Tm 0.771 0.000 0.335

=====

# RuRhPb2 PBE relaxed
# E_form = 869 meV/atom
# DOS at the Fermi energy = 4.81 states/eV/f.u.
# Crystal system = tetragonal
# Relative energy among the computed polymorphs = 57.7 kJ/mol of atoms
# Size of the total moment = 0.0 μB/cell
data_RuRhPb2
_chemical_formula_sum 'Ru2 Rh2 Pb4'
_cell_length_a 7.565
_cell_length_b 7.565
_cell_length_c 7.565
_cell_angle_alpha 133.01
_cell_angle_beta 133.01
_cell_angle_gamma 68.63
_space_group_name_H-M_alt 'P 1'
_space_group_IT_number 1
_space_group_name_Hall 'P 1'
loop_
_atom_site_label
_atom_site_type_symbol
_atom_site_fract_x
_atom_site_fract_y
_atom_site_fract_z
Ru1 Ru 0.000 0.000 0.000
Ru2 Ru 0.750 0.250 0.500
Rh1 Rh 0.250 0.750 0.500
Rh2 Rh 0.500 0.500 0.000
Pb1 Pb 0.123 0.625 0.998
Pb2 Pb 0.375 0.373 0.498
Pb3 Pb 0.627 0.125 0.002
Pb4 Pb 0.875 0.877 0.502

=====

# Sr2TaNO PBE relaxed
# Formation energy from raw total energies = -0.38 eV/atom
# DOS at the Fermi energy = 2.73 states/eV/f.u.
# Crystal system = tetragonal
# Size of the total moment = 1.9 μB/cell
data_Sr2TaNO
_chemical_formula_sum 'Sr2 Ta1 N1 O1'
_cell_length_a 5.374
_cell_length_b 5.374
_cell_length_c 4.001
_cell_angle_alpha 90.00
_cell_angle_beta 90.00
_cell_angle_gamma 90.00
_space_group_name_H-M_alt 'P 1'
_space_group_IT_number 1
_space_group_name_Hall 'P 1'
loop_
_atom_site_label
_atom_site_type_symbol
_atom_site_fract_x
_atom_site_fract_y
_atom_site_fract_z
Sr1 Sr 0.000 0.500 0.000
Sr2 Sr 0.500 0.000 0.000
Ta1 Ta 0.000 0.000 0.500
N1 N 0.000 0.000 0.000
O1 O 0.500 0.500 0.500

=====

# Sn2Te2Se PBE relaxed
# Formation energy from raw total energies = -0.02 eV/atom
# DOS at the Fermi energy = 0.52 states/eV/f.u.
# Crystal system = tetragonal
# Relative energy among the computed polymorphs = 22.3 kJ/mol of atoms
# Size of the total moment = 0.0 μB/cell
data_Sn2Te2Se
_chemical_formula_sum 'Sn2 Te2 Se1'
_cell_length_a 6.191
_cell_length_b 6.191
_cell_length_c 6.191
_cell_angle_alpha 121.45
_cell_angle_beta 121.45
_cell_angle_gamma 87.50
_space_group_name_H-M_alt 'P 1'
_space_group_IT_number 1
_space_group_name_Hall 'P 1'
loop_
_atom_site_label
_atom_site_type_symbol
_atom_site_fract_x
_atom_site_fract_y
_atom_site_fract_z
Sn1 Sn 0.250 0.750 0.500
Sn2 Sn 0.750 0.250 0.500
Te1 Te 0.174 0.174 0.000
Te2 Te 0.826 0.826 0.000
Se1 Se 0.500 0.500 0.000